## ReMo2Pt (PBE)

Data for crystalline ReMo2Pt at its relaxed geometry.

```
ReMo2Pt
1.0
-2.1470 -8.2365 3.9177
-1.9857 -9.0693 1.2657
0.3178 -8.9289 2.8234
Pt Mo Re
1 2 1
Direct
0.2500 0.2500 0.2500 Pt
0.4982 0.4982 0.4982 Mo
0.0018 0.0018 0.0018 Mo
0.7500 0.7500 0.7500 Re
```

Values from the calculation:
DFT total energy	-40.05	eV/f.u.
calculated formation energy	25	meV/atom
SG	No. 166
mass density	15.36	g/cm³
magnetic moment	0.0	μB per formula unit